Entry 1:
VASP calculation (PBE-GGA) on Ac6CoOs after structural relaxation.

The structure in extended XYZ format:
```
16
Lattice="7.205 0.000 0.000 -3.603 6.240 0.000 0.000 0.000 13.831" Properties=species:S:1:pos:R:3 pbc="T T T"
Ac -1.158 2.108 1.731
Ac -2.356 4.183 5.184
Ac 1.158 2.108 5.184
Ac -1.198 6.189 1.731
Ac 2.405 0.051 8.647
Ac 1.247 2.057 12.100
Ac 2.356 4.183 1.731
Ac 1.198 6.189 5.184
Ac 4.800 0.051 12.100
Ac 2.444 4.132 8.647
Ac 5.959 2.057 8.647
Ac 4.761 4.132 12.100
Co 0.000 4.160 3.458
Co 3.603 2.080 10.373
Os 0.000 0.000 0.000
Os 0.000 0.000 6.915
```

## Properties
Energy of formation (eV/atom): -0.040
Total magnetization (μB/cell): 0.0
Space-group type: No. 163

---

Entry 2:
VASP calculation (PBE-GGA) on MnAlVRe after structural relaxation.

The structure in extended XYZ format:
```
16
Lattice="6.006 0.000 0.000 0.000 6.006 0.000 0.000 0.000 6.006" Properties=species:S:1:pos:R:3 pbc="T T T"
Mn 0.000 0.000 0.000
Mn 0.000 3.003 3.003
Mn 3.003 0.000 3.003
Mn 3.003 3.003 0.000
Al 1.501 1.501 1.501
Al 1.501 4.504 4.504
Al 4.504 1.501 4.504
Al 4.504 4.504 1.501
V 1.501 1.501 4.504
V 1.501 4.504 1.501
V 4.504 1.501 1.501
V 4.504 4.504 4.504
Re 0.000 0.000 3.003
Re 0.000 3.003 0.000
Re 3.003 0.000 0.000
Re 3.003 3.003 3.003
```

## Properties
Energy of formation (eV/atom): -0.247
Total magnetization (μB/cell): 7.9
Space-group type: No. 216